VASP calculation (PBE-GGA) on crystalline CaHg2F6 at its relaxed geometry.

The energy above the most stable polymorph in this dataset is 45 meV per atom. The value obtained for the total DFT energy (no corrections) is -3.757 eV per atom. The formation energy from raw total energies comes out at -2.2199 eV per atom.

It has space group C2/m (No. 12), with a = 12.2698 Å, b = 4.1989 Å, c = 7.4431 Å, α = 90.00°, β = 125.11° and γ = 90.00°. The distinct sites, in fractional coordinates, are Ca at (0.0000, 0.0000, 0.0000), Hg at (0.1814, 0.0000, 0.6402), F at (0.0123, 0.0000, 0.6973), F at (0.1200, 0.5000, 0.0434) and F at (0.2239, 0.0000, 0.3372).

VASP calculation (PBE-GGA) on crystalline Ca2HgF6 at its relaxed geometry.

The energy above the most stable polymorph in this dataset is 0 meV per atom. The value obtained for the total DFT energy (no corrections) is -4.829 eV per atom. The formation energy from raw total energies comes out at -3.1036 eV per atom.

It has space group Immm (No. 71), with a = 3.9174 Å, b = 5.5661 Å, c = 11.8393 Å, α = 90.00°, β = 90.00° and γ = 90.00°. The distinct sites, in fractional coordinates, are Ca at (0.0000, 0.0000, 0.1682), Hg at (0.0000, 0.0000, 0.5000), F at (0.0000, 0.2426, 0.0000) and F at (0.0000, 0.2541, 0.3304).

VASP calculation (PBE-GGA) on crystalline CaHgF6 at its relaxed geometry.

The value obtained for the total DFT energy (no corrections) is -3.664 eV per atom. The formation energy from raw total energies comes out at -1.9722 eV per atom.

It has space group C2/c (No. 15), with a = 10.4830 Å, b = 7.4803 Å, c = 7.4021 Å, α = 90.00°, β = 90.10° and γ = 90.00°. The distinct sites, in fractional coordinates, are Ca at (0.0000, 0.0006, 0.2500), Hg at (0.2500, 0.2500, 0.0000), F at (0.1169, 0.2871, 0.8081), F at (0.1166, 0.2879, 0.1910) and F at (0.1302, 0.0259, 0.5003).

VASP calculation (PBE-GGA) on crystalline Ca2HgF at its relaxed geometry.

The energy above the most stable polymorph in this dataset is 442 meV per atom. The value obtained for the total DFT energy (no corrections) is -2.683 eV per atom. The formation energy from raw total energies comes out at -1.1389 eV per atom.

It has space group R-3m (No. 166, hexagonal axes), with a = 3.7199 Å, b = 3.7199 Å, c = 28.1164 Å, α = 90.00°, β = 90.00° and γ = 120.00°. The distinct sites, in fractional coordinates, are Ca at (0.0000, 0.0000, 0.1113), Hg at (0.0000, 0.0000, 0.0000) and F at (0.0000, 0.0000, 0.5000).

VASP calculation (PBE-GGA) on crystalline CaHg2F6 at its relaxed geometry.

The energy above the most stable polymorph in this dataset is 0 meV per atom. The value obtained for the total DFT energy (no corrections) is -3.802 eV per atom. The formation energy from raw total energies comes out at -2.2648 eV per atom.

It has space group Immm (No. 71), with a = 3.9503 Å, b = 5.6103 Å, c = 11.9283 Å, α = 90.00°, β = 90.00° and γ = 90.00°. The distinct sites, in fractional coordinates, are Ca at (0.0000, 0.0000, 0.0000), Hg at (0.0000, 0.0000, 0.3342), F at (0.0000, 0.2459, 0.1636) and F at (0.0000, 0.2579, 0.5000).

VASP calculation (PBE-GGA) on crystalline Ca2HgF8 at its relaxed geometry.

The value obtained for the total DFT energy (no corrections) is -4.232 eV per atom. The formation energy from raw total energies comes out at -2.4797 eV per atom.

It has space group C2/m (No. 12), with a = 10.7495 Å, b = 7.4582 Å, c = 4.4833 Å, α = 90.00°, β = 114.54° and γ = 90.00°. The distinct sites, in fractional coordinates, are Ca at (0.1594, 0.0000, 0.4136), Hg at (0.0000, 0.5000, 0.0000), F at (0.0816, 0.0000, 0.8399), F at (0.1271, 0.3102, 0.3925) and F at (0.1815, 0.5000, 0.9695).

VASP calculation (PBE-GGA) on crystalline CaHg2F2 at its relaxed geometry.

The value obtained for the total DFT energy (no corrections) is -3.353 eV per atom. The formation energy from raw total energies comes out at -2.0835 eV per atom.

It has space group P4/mbm (No. 127), with a = 6.2367 Å, b = 6.2367 Å, c = 6.4789 Å, α = 90.00°, β = 90.00° and γ = 90.00°. The distinct sites, in fractional coordinates, are Ca at (0.0000, 0.0000, 0.0000), Hg at (0.1813, 0.3187, 0.5000) and F at (0.2473, 0.7473, 0.0000).

VASP calculation (PBE-GGA) on crystalline Ca2HgF6 at its relaxed geometry.

The energy above the most stable polymorph in this dataset is 68 meV per atom. The value obtained for the total DFT energy (no corrections) is -4.762 eV per atom. The formation energy from raw total energies comes out at -3.0357 eV per atom.

It has space group P2_1/c (No. 14), with a = 6.0859 Å, b = 5.5474 Å, c = 10.9235 Å, α = 90.00°, β = 119.97° and γ = 90.00°. The distinct sites, in fractional coordinates, are Ca at (0.1886, 0.0157, 0.1947), Hg at (0.5000, 0.0000, 0.0000), F at (0.1484, 0.7373, 0.3301), F at (0.1558, 0.1779, 0.9916) and F at (0.4986, 0.7125, 0.6844).

VASP calculation (PBE-GGA) on crystalline CaHg3F8 at its relaxed geometry.

The value obtained for the total DFT energy (no corrections) is -3.544 eV per atom. The formation energy from raw total energies comes out at -2.0544 eV per atom.

It has space group Pm-3m (No. 221), with a = 5.6176 Å, b = 5.6176 Å, c = 5.6176 Å, α = 90.00°, β = 90.00° and γ = 90.00°. The distinct sites, in fractional coordinates, are Ca at (0.0000, 0.0000, 0.0000), Hg at (0.0000, 0.5000, 0.5000) and F at (0.2459, 0.2459, 0.2459).

VASP calculation (PBE-GGA) on crystalline CaHgF4 at its relaxed geometry.

The value obtained for the total DFT energy (no corrections) is -4.315 eV per atom. The formation energy from raw total energies comes out at -2.6840 eV per atom.

It has space group P4/mmm (No. 123), with a = 3.9470 Å, b = 3.9470 Å, c = 5.5959 Å, α = 90.00°, β = 90.00° and γ = 90.00°. The distinct sites, in fractional coordinates, are Ca at (0.0000, 0.0000, 0.0000), Hg at (0.5000, 0.5000, 0.5000) and F at (0.0000, 0.5000, 0.2421).

VASP calculation (PBE-GGA) on crystalline Ca2HgF at its relaxed geometry.

The energy above the most stable polymorph in this dataset is 0 meV per atom. The value obtained for the total DFT energy (no corrections) is -3.125 eV per atom. The formation energy from raw total energies comes out at -1.5809 eV per atom.

It has space group I-42d (No. 122), with a = 7.0749 Å, b = 7.0749 Å, c = 8.0783 Å, α = 90.00°, β = 90.00° and γ = 90.00°. The distinct sites, in fractional coordinates, are Ca at (0.1652, 0.2500, 0.1250), Hg at (0.0000, 0.0000, 0.5000) and F at (0.0000, 0.0000, 0.0000).

VASP calculation (PBE-GGA) on crystalline Ca12Hg3F5 at its relaxed geometry.

The value obtained for the total DFT energy (no corrections) is -3.235 eV per atom. The formation energy from raw total energies comes out at -1.5213 eV per atom.

It has space group Ia-3d (No. 230), with a = 16.2721 Å, b = 16.2721 Å, c = 16.2721 Å, α = 90.00°, β = 90.00° and γ = 90.00°. The distinct sites, in fractional coordinates, are Ca at (0.0354, 0.0558, 0.6533), Hg at (0.0000, 0.2500, 0.1250), F at (0.0000, 0.0000, 0.0000) and F at (0.0000, 0.2500, 0.3750).

VASP calculation (PBE-GGA) on crystalline Ca4Hg2F at its relaxed geometry.

The value obtained for the total DFT energy (no corrections) is -2.574 eV per atom. The formation energy from raw total energies comes out at -1.0770 eV per atom.

It has space group I4/mmm (No. 139), with a = 4.7398 Å, b = 4.7398 Å, c = 17.3605 Å, α = 90.00°, β = 90.00° and γ = 90.00°. The distinct sites, in fractional coordinates, are Ca at (0.0000, 0.0000, 0.1879), Ca at (0.0000, 0.5000, 0.0000), Hg at (0.0000, 0.0000, 0.3702) and F at (0.0000, 0.0000, 0.0000).

VASP calculation (PBE-GGA) on crystalline Ca5Hg2F12 at its relaxed geometry.

The value obtained for the total DFT energy (no corrections) is -4.931 eV per atom. The formation energy from raw total energies comes out at -3.1905 eV per atom.

It has space group C2/m (No. 12), with a = 12.8548 Å, b = 5.8969 Å, c = 8.2744 Å, α = 90.00°, β = 104.05° and γ = 90.00°. The distinct sites, in fractional coordinates, are Ca at (0.0000, 0.0000, 0.0000), Ca at (0.1718, 0.5000, 0.2814), Ca at (0.1887, 0.5000, 0.8521), Hg at (0.0000, 0.2747, 0.5000), F at (0.0065, 0.5000, 0.8100), F at (0.0255, 0.0000, 0.2908), F at (0.1553, 0.2395, 0.0549) and F at (0.1980, 0.2533, 0.6448).

VASP calculation (PBE-GGA) on crystalline Ca2Hg2F7 at its relaxed geometry.

The value obtained for the total DFT energy (no corrections) is -4.152 eV per atom. The formation energy from raw total energies comes out at -2.5422 eV per atom.

It has space group Cmmm (No. 65), with a = 7.2670 Å, b = 8.8790 Å, c = 6.3417 Å, α = 90.00°, β = 90.00° and γ = 90.00°. The distinct sites, in fractional coordinates, are Ca at (0.0000, 0.2158, 0.0000), Hg at (0.2013, 0.0000, 0.5000), F at (0.0000, 0.0000, 0.1948), F at (0.0000, 0.5000, 0.5000) and F at (0.2500, 0.2500, 0.2192).

VASP calculation (PBE-GGA) on crystalline K2CaHgF6 at its relaxed geometry.

The value obtained for the total DFT energy (no corrections) is -4.307 eV per atom. The formation energy from raw total energies comes out at -2.7341 eV per atom.

It has space group P2_1/c (No. 14), with a = 6.2368 Å, b = 6.3986 Å, c = 10.8405 Å, α = 90.00°, β = 125.00° and γ = 90.00°. The distinct sites, in fractional coordinates, are K at (0.2371, 0.0464, 0.2496), Ca at (0.5000, 0.0000, 0.0000), Hg at (0.0000, 0.0000, 0.5000), F at (0.1626, 0.2027, 0.9531), F at (0.2492, 0.7124, 0.9495) and F at (0.3464, 0.0357, 0.7545).

VASP calculation (PBE-GGA) on crystalline KCa2HgF8 at its relaxed geometry.

The value obtained for the total DFT energy (no corrections) is -4.477 eV per atom. The formation energy from raw total energies comes out at -2.7789 eV per atom.

It has space group Pmmm (No. 47), with a = 4.1916 Å, b = 5.6476 Å, c = 7.7445 Å, α = 90.00°, β = 90.00° and γ = 90.00°. The distinct sites, in fractional coordinates, are K at (0.0000, 0.0000, 0.0000), Ca at (0.5000, 0.5000, 0.2584), Hg at (0.0000, 0.0000, 0.5000), F at (0.0000, 0.2657, 0.2809), F at (0.5000, 0.2512, 0.5000) and F at (0.5000, 0.2813, 0.0000).

VASP calculation (PBE-GGA) on crystalline K3Ca2HgF9 at its relaxed geometry.

The value obtained for the total DFT energy (no corrections) is -4.579 eV per atom. The formation energy from raw total energies comes out at -2.9501 eV per atom.

It has space group P-3m1 (No. 164), with a = 6.3898 Å, b = 6.3898 Å, c = 7.8298 Å, α = 90.00°, β = 90.00° and γ = 120.00°. The distinct sites, in fractional coordinates, are K at (0.0000, 0.0000, 0.0000), K at (0.3333, 0.6667, 0.6455), Ca at (0.3333, 0.6667, 0.1590), Hg at (0.0000, 0.0000, 0.5000), F at (0.0000, 0.5000, 0.0000) and F at (0.1717, 0.3434, 0.3320).

| no. | theoretical density (Mg/m³) |
| --- | --- |
| 1 | 5.88 |
| 2 | 5.08 |
| 3 | 4.06 |
| 4 | 4.43 |
| 5 | 6.98 |
| 6 | 4.40 |
| 7 | 6.32 |
| 8 | 4.10 |
| 9 | 7.44 |
| 10 | 6.03 |
| 11 | 4.92 |
| 12 | 3.63 |
| 13 | 4.94 |
| 14 | 4.53 |
| 15 | 4.99 |
| 16 | 4.06 |
| 17 | 4.27 |
| 18 | 3.41 |